(1)
Density functional theory data (SCAN) for TlNiSb2 at its PBEsol-relaxed geometry.

Cell and atoms, written as extended XYZ:
```
4
Lattice="3.4193 0.0000 0.0000 0.0000 3.6070 0.0000 0.0000 0.0000 7.5925" Properties=species:S:1:pos:R:3 pbc="T T T"
Ni 1.7096 1.8035 1.1575
Sb 0.0000 0.0000 0.5179
Sb 1.7096 1.8035 6.0660
Tl 0.0000 0.0000 3.6473
```

## Properties
As for the symmetry: No. 25.


(2)
Density functional theory data (SCAN) for TmNiSb at its PBEsol-relaxed geometry.

Cell and atoms, written as extended XYZ:
```
3
Lattice="4.3854 0.0000 0.0000 2.1927 3.7979 0.0000 2.1927 1.2660 3.5807" Properties=species:S:1:pos:R:3 pbc="T T T"
Sb 0.0000 0.0000 0.0000
Tm 4.3854 2.5319 1.7903
Ni 2.1927 1.2660 0.8952
```

## Properties
As for the symmetry: No. 216.


(3)
Density functional theory data (SCAN) for U3Ni3Sb4 at its PBEsol-relaxed geometry.

Cell and atoms, written as extended XYZ:
```
20
Lattice="-1.9491 5.8673 -5.0816 -4.8395 -6.2645 -1.1756 -0.7970 2.6119 7.5226" Properties=species:S:1:pos:R:3 pbc="T T T"
U -1.7524 0.1467 1.8919
U -4.4601 -2.1717 -1.8470
U -5.1839 2.7705 2.0363
U -5.2199 -2.3822 2.4025
U -2.9081 6.3097 1.0486
U -3.2322 1.9708 -1.7362
Ni -3.1254 4.3863 3.1123
Ni -5.8332 2.0679 -0.6265
Ni -2.3656 4.5968 -1.1372
Ni -2.4017 -0.5559 -0.7709
Ni -4.3533 0.2438 3.0016
Ni -4.6774 -4.0951 0.2168
Sb -2.9257 2.0438 4.1829
Sb -2.1805 3.1944 1.0243
Sb -2.9512 -1.3905 4.4286
Sb -0.3252 0.9789 -0.8478
Sb -4.6002 0.0621 0.4365
Sb -5.9215 0.5392 -2.7071
Sb -2.5527 -2.6965 0.6673
Sb -1.2997 3.9125 -3.3887
```

## Properties
As for the symmetry: No. 220.


We obtain formation energy from raw total energies values of 0.20; -1.02; -0.36 eV/atom for the records listed above, in that order.